No. 1
Entry from Alexandria: Rb3ThU2Te6 after structural relaxation (PBE).

a b c (Å): 7.8488 13.5945 9.0754
angles (deg): 90.00 106.75 90.00
Last column: nearest neighbours and their distance in Å.
Space group C2/m (No. 12)
One atom of each set of equivalent atoms:
Rb: 0.0000 0.0000 0.0000  6 Te 3.65-3.66
Rb: 0.0000 0.3340 0.0000  6 Te 3.66
Th: 0.0000 0.5000 0.5000  6 Te 3.18
U: 0.0000 0.1669 0.5000  6 Te 3.16
Te: 0.2336 0.0000 0.7054  2 U 3.16, 1 Th 3.18
Te: 0.2361 0.3327 0.7059  2 U 3.16, 1 Th 3.18

---

No. 2
Entry from Alexandria: Rb3YTh3Te8 after structural relaxation (PBE).

a b c (Å): 8.9530 8.9530 26.6766
angles (deg): 90.00 90.00 120.00
Last column: nearest neighbours and their distance in Å.
Space group R-3m (No. 166, hexagonal axes)
One atom of each set of equivalent atoms:
Rb: 0.0000 0.5000 0.0000  6 Te 3.65-3.69
Y: 0.0000 0.0000 0.5000  6 Te 3.14
Th: 0.0000 0.5000 0.5000  6 Te 3.16-3.19
Te: 0.0000 0.0000 0.2369  3 Th 3.19
Te: 0.0027 0.5014 0.2344  1 Y 3.14, 2 Th 3.16

---

No. 3
Entry from Alexandria: Rb4YTh3Te8 after structural relaxation (PBE).

a b c (Å): 9.0103 9.0103 26.2634
angles (deg): 90.00 90.00 120.00
Last column: nearest neighbours and their distance in Å.
Space group R-3m (No. 166, hexagonal axes)
One atom of each set of equivalent atoms:
Rb: 0.0000 0.0000 0.0000  6 Te 3.68
Rb: 0.0000 0.5000 0.0000  6 Te 3.62-3.64
Y: 0.0000 0.0000 0.5000  6 Te 3.14
Th: 0.0000 0.5000 0.5000  6 Te 3.19
Te: 0.0000 0.0000 0.2373  3 Th 3.19
Te: 0.0049 0.5024 0.2357  1 Y 3.14, 2 Th 3.19

---

Number 1: raw total energy -63.1 eV per formula unit, E_form (uncorrected) -0.95 eV per atom. Number 2: raw total energy -75.4 eV per formula unit, E_form (uncorrected) -1.24 eV per atom. Number 3: raw total energy -77.2 eV per formula unit, E_form (uncorrected) -1.22 eV per atom.